Below is a relaxed structure of LiVCrO5, with properties calculated at the GGA+U level.

Computed properties:
Total moment   2.0 μB/f.u.
VASP energy   -6.99 eV/atom
N(E_F)   1.55 states/eV per cell

a = 6.3876 Å, b = 8.9913 Å, c = 7.0496 Å
α = 90.00°, β = 113.27°, γ = 90.00°
Space group C2/c (No. 15)
One atom of each set of equivalent atoms:
1 Li 0.0000 0.2060 0.2500 [4 per cell]
2 V 0.0000 0.1960 0.7500 [4 per cell]
3 Cr 0.0000 0.5000 0.0000 [4 per cell]
4 O 0.0000 0.4321 0.2500 [4 per cell]
5 O 0.1388 0.3079 0.6297 [8 per cell]
6 O 0.1943 0.0823 0.9326 [8 per cell]